The following is a PBE calculation of Zr2WCl after structural relaxation, from Alexandria via LeMat-Bulk.

Volume   21.064 A^3/atom
ΔE_f (raw)   -0.287 eV per atom
Energy relative to the lowest polymorph listed for this composition   0.152 eV/atom

```
4
Lattice="-1.923 -1.666 2.061 -1.784 -1.068 -2.529 4.703 -6.261 -0.675" Properties=species:S:1:pos:R:3 pbc="T T T"
Cl -0.678 -2.932 -0.403
W 1.674 -6.063 -0.740
Zr 4.512 -6.008 -0.647
Zr 2.542 -3.384 -0.365
```